# 1
Here is a relaxed NaSr2PtI crystal from the Alexandria database. Energies are from PBE-GGA.

Geometry as POSCAR:
```
NaSr2PtI
1.0
-4.7502 2.6574 -2.2650
-3.2247 -4.8053 1.1252
-1.2593 2.0179 5.0085
Na Sr I Pt
1 2 1 1
Cartesian
-0.6296 1.0089 2.5042
-2.3751 1.3287 -1.1325
-1.6124 -2.4026 0.5626
-4.6171 -0.0650 1.9344
0.0000 0.0000 0.0000
```

- Symmetry: P4/mmm
- Raw total energy: -3.084 eV/atom
- Crystal system: tetragonal
- Energy relative to the elements, uncorrected: -0.63 eV/atom
- V: 38.5 A^3/atom

---

# 2
Here is a relaxed Co2AgOs crystal from the Alexandria database. Energies are from PBE-GGA.

Geometry as POSCAR:
```
Co2AgOs
1.0
2.6700 0.0000 0.0000
0.0000 3.5584 0.0000
0.0000 0.0000 5.6387
Co Os Ag
2 1 1
Cartesian
0.0000 0.0000 0.2031
0.0000 0.0000 2.6163
1.3350 1.7792 1.4097
1.3350 1.7792 4.2290
```

- Symmetry: Pmmm
- Offset from the most stable computed form: 92 meV/atom
- Raw total energy: -6.692 eV/atom
- Crystal system: orthorhombic
- V: 13.4 A^3/atom

---

# 3
Here is a relaxed NdY4Pd4 crystal from the Alexandria database. Energies are from PBE-GGA.

Geometry as POSCAR:
```
NdY4Pd4
1.0
-0.1071 -5.0290 -2.9362
4.9969 -3.8969 6.4921
-7.5700 -2.3997 4.3862
Y Pd Nd
8 8 2
Cartesian
-0.6525 -8.1051 7.1247
2.6234 -4.9370 3.5876
0.5991 -6.5970 0.7279
-3.3679 -8.8832 4.7884
-2.0464 -4.0948 0.3069
-5.2850 -5.5142 4.8649
1.0334 -4.6227 6.8755
-3.6251 -2.5482 3.4923
-2.8592 -6.3883 6.3223
2.5036 -7.6584 2.5253
-3.7458 -5.3121 2.4051
0.1985 -4.0204 2.1551
-1.5386 -1.6424 1.8159
-5.2715 -7.7793 3.0159
1.0460 -6.9302 5.0016
-1.0541 -5.5710 8.5270
0.0000 0.0000 0.0000
-1.3401 -5.6628 3.9710
```

- Symmetry: P4_2/n
- Raw total energy: -6.358 eV/atom
- Crystal system: tetragonal
- V: 26.6 A^3/atom

---

# 4
Here is a relaxed LaHg2Os crystal from the Alexandria database. Energies are from PBE-GGA.

Geometry as POSCAR:
```
LaHg2Os
1.0
10.5291 0.0070 0.0041
10.0697 3.0762 0.0041
10.0697 1.5072 2.6817
Hg Os La
2 1 1
Cartesian
0.2717 0.0407 0.0238
15.0626 2.2546 1.3211
23.0015 3.4428 2.0174
7.6672 1.1476 0.6725
```

- Symmetry: R-3m
- Raw total energy: -3.609 eV/atom
- Crystal system: trigonal
- V: 21.6 A^3/atom

---

# 5
Here is a relaxed Rb3Na2Hg9 crystal from the Alexandria database. Energies are from PBE-GGA.

Geometry as POSCAR:
```
Rb3Na2Hg9
1.0
-1.9863 4.7941 0.8231
-7.2262 -1.2689 6.7221
3.2158 2.6608 9.0329
Na Rb Hg
2 3 9
Cartesian
-4.9608 2.3545 7.8547
-1.0359 3.8315 8.7233
0.0000 0.0000 0.0000
-2.5803 3.7957 5.2049
-3.4165 2.3903 11.3731
-3.1902 4.9033 14.0518
-6.1548 3.7877 13.3958
-3.9704 0.3082 5.3935
0.1580 2.3983 3.1823
0.4993 1.9903 6.3827
-2.8066 1.2827 2.5262
-6.4961 4.1957 10.1953
-2.0264 5.8778 11.1845
-2.0052 0.6960 7.8775
```

- Symmetry: Immm
- Raw total energy: -0.835 eV/atom
- Crystal system: orthorhombic
- V: 33.0 A^3/atom

---

# 6
Here is a relaxed CaTe2Mo crystal from the Alexandria database. Energies are from PBE-GGA.

Geometry as POSCAR:
```
CaTe2Mo
1.0
3.4935 0.0000 0.0000
0.0000 3.4935 0.0000
0.0000 0.0000 9.0970
Te Mo Ca
2 1 1
Cartesian
1.7468 1.7468 2.6722
0.0000 0.0000 8.2366
1.7468 1.7468 7.0248
0.0000 0.0000 4.8088
```

- Symmetry: P4mm
- Offset from the most stable computed form: 321 meV/atom
- Raw total energy: -4.890 eV/atom
- Crystal system: tetragonal
- Energy relative to the elements, uncorrected: -0.11 eV/atom
- V: 27.8 A^3/atom

---

# 7
Here is a relaxed Tb2NdPd crystal from the Alexandria database. Energies are from PBE-GGA.

Geometry as POSCAR:
```
Tb2NdPd
1.0
-3.4768 -0.9515 0.0102
0.1483 -0.5797 -3.5546
2.2464 -8.1931 1.4300
Tb Nd Pd
2 1 1
Cartesian
0.4341 -1.5833 0.2763
1.8123 -6.6098 1.1536
-0.5410 -4.8622 -1.0572
-1.6642 -0.7656 -1.7722
```

- Symmetry: P4/mmm
- Offset from the most stable computed form: 45 meV/atom
- Raw total energy: -5.208 eV/atom
- Crystal system: tetragonal
- V: 28.0 A^3/atom

---

# 8
Here is a relaxed TbTmAlAu crystal from the Alexandria database. Energies are from PBE-GGA.

Geometry as POSCAR:
```
TbTmAlAu
1.0
5.1088 0.0000 0.0000
2.5544 4.4244 0.0000
2.5544 1.4748 4.1713
Tb Tm Al Au
1 1 1 1
Cartesian
7.6632 4.4244 3.1285
2.5544 1.4748 1.0428
5.1088 2.9496 2.0857
0.0000 0.0000 0.0000
```

- Symmetry: F-43m
- Offset from the most stable computed form: 54 meV/atom
- Raw total energy: -4.603 eV/atom
- Crystal system: cubic
- V: 23.6 A^3/atom